1.
## Na2LaSbF (PBE-GGA)

Data for a relaxed Na2LaSbF crystal.

abc: 4.688 4.688 5.385
angles: 90.00 90.00 90.00
Space group P4/mmm (No. 123)
Symmetry-distinct sites (fractional):
Na: 0.000 0.500 0.000 x2
La: 0.000 0.000 0.500 x1
Sb: 0.500 0.500 0.500 x1
F: 0.000 0.000 0.000 x1

Calculated values
theoretical density: 4.57 g/cm3
energy relative to the elements, uncorrected: -1.43 eV/atom
raw total energy: -4.143 eV/atom



2.
## RePOs2 (PBE-GGA)

Data for a relaxed RePOs2 crystal.

abc: 5.448 5.448 10.736
angles: 90.00 90.00 90.00
Space group I-42d (No. 122)
Symmetry-distinct sites (fractional):
Re: 0.000 0.000 0.000 x4
P: 0.000 0.000 0.500 x4
Os: 0.228 0.250 0.625 x8

Calculated values
theoretical density: 12.46 g/cm3
energy relative to the elements: 0.61 eV/atom
raw total energy: -9.470 eV/atom



3.
## Dy6BiP3Se2 (PBE-GGA)

Data for a relaxed Dy6BiP3Se2 crystal.

abc: 18.010 4.080 8.298
angles: 90.00 104.46 90.00
Space group C2/m (No. 12)
Symmetry-distinct sites (fractional):
Dy: 0.004 0.000 0.229 x4
Dy: 0.163 0.500 0.095 x4
Dy: 0.175 0.500 0.573 x4
Bi: 0.000 0.500 0.500 x2
P: 0.000 0.500 0.000 x2
P: 0.166 0.000 0.331 x4
Se: 0.169 0.000 0.836 x4

Calculated values
theoretical density: 8.07 g/cm3
energy relative to the elements, uncorrected: -1.58 eV/atom
raw total energy: -6.135 eV/atom



4.
## Ge2S (PBE-GGA)

Data for a relaxed Ge2S crystal.

abc: 7.284 4.113 5.458
angles: 90.00 117.57 90.00
Space group C2 (No. 5)
Symmetry-distinct sites (fractional):
Ge: 0.137 0.000 0.419 x4
S: 0.000 0.745 0.000 x2

Calculated values
theoretical density: 4.06 g/cm3
energy relative to the elements, uncorrected: -0.05 eV/atom
polymorph energy (0 for the lowest one): 0 meV/atom
raw total energy: -4.501 eV/atom



5.
## TbErRh2 (PBE-GGA)

Data for a relaxed TbErRh2 crystal.

abc: 4.774 4.774 3.504
angles: 90.00 90.00 90.00
Space group P4/mmm (No. 123)
Symmetry-distinct sites (fractional):
Tb: 0.000 0.000 0.000 x1
Er: 0.500 0.500 0.000 x1
Rh: 0.000 0.500 0.500 x2

Calculated values
theoretical density: 11.06 g/cm3
energy relative to the elements: -0.89 eV/atom
polymorph energy (0 for the lowest one): 2 meV/atom
raw total energy: -6.862 eV/atom



6.
## In2Ga2Rh (PBE-GGA)

Data for a relaxed In2Ga2Rh crystal.

abc: 6.586 6.586 4.645
angles: 90.00 90.00 90.00
Space group P4/mbm (No. 127)
Symmetry-distinct sites (fractional):
In: 0.178 0.322 0.000 x4
Ga: 0.142 0.642 0.500 x4
Rh: 0.000 0.000 0.500 x2

Calculated values
theoretical density: 7.78 g/cm3
energy relative to the elements: -0.03 eV/atom
raw total energy: -3.811 eV/atom



7.
## La2AlHRh (PBE-GGA)

Data for a relaxed La2AlHRh crystal.

abc: 5.230 5.230 3.810
angles: 90.00 90.00 90.00
Space group P4/mmm (No. 123)
Symmetry-distinct sites (fractional):
La: 0.000 0.500 0.000 x2
Al: 0.000 0.000 0.500 x1
H: 0.500 0.500 0.000 x1
Rh: 0.500 0.500 0.500 x1

Calculated values
theoretical density: 6.51 g/cm3
raw total energy: -5.334 eV/atom



8.
## RbPmAs2 (PBE-GGA)

Data for a relaxed RbPmAs2 crystal.

abc: 5.742 5.742 3.273
angles: 90.00 90.00 90.00
Space group P4/mmm (No. 123)
Symmetry-distinct sites (fractional):
Rb: 0.000 0.000 0.000 x1
Pm: 0.500 0.500 0.000 x1
As: 0.000 0.500 0.500 x2

Calculated values
theoretical density: 5.85 g/cm3
energy relative to the elements: -0.38 eV/atom
polymorph energy (0 for the lowest one): 434 meV/atom
raw total energy: -4.136 eV/atom



9.
## LaPr2NdEr4 (PBE-GGA)

Data for a relaxed LaPr2NdEr4 crystal.

abc: 7.298 7.311 9.979
angles: 89.95 89.92 89.66
Space group P-1 (No. 2)
Symmetry-distinct sites (fractional):
La: 0.000 0.000 0.000 x1
La: 0.500 0.000 0.000 x1
Pr: 0.000 0.000 0.500 x1
Pr: 0.000 0.500 0.000 x1
Pr: 0.000 0.500 0.500 x1
Pr: 0.500 0.500 0.500 x1
Nd: 0.500 0.000 0.500 x1
Nd: 0.500 0.500 0.000 x1
Er: 0.250 0.251 0.251 x2
Er: 0.250 0.749 0.749 x2
Er: 0.251 0.251 0.749 x2
Er: 0.251 0.749 0.251 x2

Calculated values
theoretical density: 7.70 g/cm3
energy relative to the elements: 0.02 eV/atom
raw total energy: -4.671 eV/atom



10.
## Y4ErIn5 (PBE-GGA)

Data for a relaxed Y4ErIn5 crystal.

abc: 3.744 3.744 18.951
angles: 90.00 90.00 90.00
Space group P4/mmm (No. 123)
Symmetry-distinct sites (fractional):
Y: 0.000 0.000 0.101 x2
Y: 0.000 0.000 0.302 x2
Er: 0.000 0.000 0.500 x1
In: 0.500 0.500 0.000 x1
In: 0.500 0.500 0.201 x2
In: 0.500 0.500 0.402 x2

Calculated values
theoretical density: 6.86 g/cm3
energy relative to the elements: -0.49 eV/atom
raw total energy: -4.897 eV/atom



11.
## CoSe2Br (PBE-GGA)

Data for a relaxed CoSe2Br crystal.

abc: 3.587 4.586 6.901
angles: 76.04 75.81 76.20
Space group P1 (No. 1)
Symmetry-distinct sites (fractional):
Co: 0.000 0.000 0.000 x1
Se: 0.436 0.855 0.229 x1
Se: 0.962 0.457 0.115 x1
Br: 0.585 0.094 0.745 x1

Calculated values
theoretical density: 4.70 g/cm3
energy relative to the elements, uncorrected: -0.14 eV/atom
polymorph energy (0 for the lowest one): 65 meV/atom
raw total energy: -4.078 eV/atom



12.
## Ba2SnH2 (PBE-GGA)

Data for a relaxed Ba2SnH2 crystal.

abc: 4.172 4.172 16.015
angles: 90.00 90.00 90.00
Space group I4/mmm (No. 139)
Symmetry-distinct sites (fractional):
Ba: 0.000 0.000 0.150 x4
Sn: 0.000 0.000 0.500 x2
H: 0.000 0.500 0.250 x4

Calculated values
theoretical density: 4.71 g/cm3
polymorph energy (0 for the lowest one): 0 meV/atom
raw total energy: -3.404 eV/atom



- Which of these has the highest raw total energy?
  Ba2SnH2